DFT (GGA+U) results for an optimized crystal structure of Cs4Pr3CrO8.

Results
M_tot in μB per cell: 8.76
E_tot in eV/f.u.: -99.5

Cell: 7.2433 7.2433 20.6920 Å, 90.00 90.00 120.00°
Space group R-3m (No. 166, hexagonal axes)
Unique sites:
Cs1 0.0000 0.0000 0.0000 x3
Cs2 0.0000 0.5000 0.0000 x9
Pr1 0.0000 0.5000 0.5000 x9
Cr1 0.0000 0.0000 0.5000 x3
O1 0.0000 0.0000 0.2243 x6
O2 0.0272 0.5136 0.2213 x18